No. 1
This record from the Alexandria database describes a relaxed structure of RbCePdS3. The functional is PBE-GGA.

The structure in POSCAR format:
```
RbCePdS3
1.0
8.876 0.000 0.000
0.000 4.153 0.000
-3.030 0.000 9.033
Rb Ce Pd S
2 2 2 6
direct
0.206 0.250 0.242
0.794 0.750 0.758
0.315 0.750 0.842
0.685 0.250 0.158
0.092 0.250 0.582
0.908 0.750 0.418
0.127 0.250 0.862
0.203 0.750 0.541
0.468 0.750 0.149
0.532 0.250 0.851
0.797 0.250 0.459
0.873 0.750 0.138
```

As for the space group: No. 11. The energy comes out at -5.397 eV per atom. As for the crystal system: monoclinic.

***

No. 2
This record from the Alexandria database describes a relaxed structure of RbCe2PdS5. The functional is PBE-GGA.

The structure in POSCAR format:
```
RbCe2PdS5
1.0
-2.296 3.493 6.903
2.296 -3.493 6.903
2.296 3.493 -6.903
Rb Ce Pd S
1 2 1 5
direct
0.000 0.000 0.000
0.303 0.803 0.500
0.697 0.197 0.500
0.500 0.500 0.000
0.109 0.346 0.763
0.417 0.654 0.763
0.500 0.000 0.500
0.583 0.346 0.237
0.891 0.654 0.237
```

As for the space group: No. 71. The energy comes out at -5.735 eV per atom. As for the crystal system: orthorhombic.

***

No. 3
This record from the Alexandria database describes a relaxed structure of Rb2CePd2S4. The functional is PBE-GGA.

The structure in POSCAR format:
```
Rb2CePd2S4
1.0
7.502 -2.066 0.000
7.502 2.066 0.000
-2.450 0.000 7.375
Rb Ce Pd S
2 1 2 4
direct
0.133 0.133 0.067
0.867 0.867 0.933
0.000 0.000 0.500
0.311 0.311 0.492
0.689 0.689 0.508
0.195 0.195 0.664
0.484 0.484 0.725
0.516 0.516 0.275
0.805 0.805 0.336
```

As for the space group: No. 12. The energy comes out at -4.970 eV per atom. As for the crystal system: monoclinic.

***

No. 4
This record from the Alexandria database describes a relaxed structure of RbCePdS2. The functional is PBE-GGA.

The structure in POSCAR format:
```
RbCePdS2
1.0
7.901 0.000 0.000
0.000 4.875 0.000
-1.588 0.000 7.687
Rb Ce Pd S
2 2 2 4
direct
0.000 0.181 0.250
0.000 0.819 0.750
0.500 0.480 0.750
0.500 0.520 0.250
0.500 0.000 0.000
0.500 0.000 0.500
0.267 0.311 0.961
0.267 0.689 0.461
0.733 0.311 0.539
0.733 0.689 0.039
```

As for the space group: No. 13. The energy comes out at -5.351 eV per atom. As for the crystal system: monoclinic.

***

In eV per atom, the formation energy (no corrections) values for the records above are, in order, -1.3178, -1.4393, -1.1071, -1.2815.
In A^3/atom, the calculated volume values for the records above are, in order, 27.75, 24.61, 25.40, 29.61.